This record from Alexandria via LeMat-Bulk describes a relaxed structure of UInPt. The functional is PBE-GGA.

```
UInPt
1.0
7.368 0.000 0.000
-3.684 6.381 0.000
0.000 0.000 4.181
U In Pt
3 3 3
direct
0.000 0.418 0.000
0.418 0.000 0.000
0.582 0.582 0.000
0.000 0.751 0.500
0.249 0.249 0.500
0.751 0.000 0.500
0.000 0.000 0.000
0.333 0.667 0.500
0.667 0.333 0.500
```

Output
The energy of formation from the pure elements is -0.459 eV per atom. The density of states at the Fermi level is 6.08 states/eV/f.u. The total energy is -7.1480 eV/atom.